Entry 1:
Entry from the Alexandria database: Rb2Ga3NiF12 after structural relaxation (PBE+U).

Values from the calculation:
The calculation puts the density of states at the Fermi level at 0.136 states/eV/atom. The value obtained for the electronic total energy is -0.167 Ha/atom.

abc: 7.4343 7.4343 17.8943
angles: 90.00 90.00 120.00
Space group R-3m (No. 166, hexagonal axes)
Unique sites:
1 Rb 0.0000 0.0000 0.1300 (multiplicity 6)
2 Ga 0.0000 0.5000 0.0000 (multiplicity 9)
3 Ni 0.0000 0.0000 0.5000 (multiplicity 3)
4 F 0.0648 0.5324 0.1059 (multiplicity 18)
5 F 0.0751 0.5375 0.3548 (multiplicity 18)

***

Entry 2:
Entry from the Alexandria database: SrGaNi2F after structural relaxation (PBE+U).

Values from the calculation:
The calculation puts the density of states at the Fermi level at 0.245 states/eV/atom. The value obtained for the electronic total energy is -0.034 Ha/atom.

abc: 4.7054 4.7054 6.6316
angles: 90.00 90.00 90.00
Space group P4/mmm (No. 123)
Unique sites:
1 Sr 0.0000 0.0000 0.0000 (multiplicity 1)
2 Ga 0.0000 0.0000 0.5000 (multiplicity 1)
3 Ni 0.0000 0.5000 0.0000 (multiplicity 2)
4 F 0.5000 0.5000 0.5000 (multiplicity 1)

***

Entry 3:
Entry from the Alexandria database: GaTcNiF2 after structural relaxation (PBE+U).

Values from the calculation:
The calculation puts the density of states at the Fermi level at 0.303 states/eV/atom. The value obtained for the electronic total energy is -0.151 Ha/atom.

abc: 3.8022 3.8022 5.6297
angles: 90.00 90.00 90.00
Space group P4/mmm (No. 123)
Unique sites:
1 Ga 0.0000 0.0000 0.0000 (multiplicity 1)
2 Tc 0.0000 0.0000 0.5000 (multiplicity 1)
3 Ni 0.5000 0.5000 0.5000 (multiplicity 1)
4 F 0.0000 0.5000 0.0000 (multiplicity 2)

***

Entry 4:
Entry from the Alexandria database: TiGaNi2F after structural relaxation (PBE+U).

Values from the calculation:
The calculation puts the density of states at the Fermi level at 2.379 states/eV/atom. The value obtained for the electronic total energy is -0.096 Ha/atom.

abc: 4.2428 4.2428 4.9534
angles: 90.00 90.00 90.00
Space group P4/mmm (No. 123)
Unique sites:
1 Ti 0.0000 0.0000 0.0000 (multiplicity 1)
2 Ga 0.0000 0.0000 0.5000 (multiplicity 1)
3 Ni 0.0000 0.5000 0.5000 (multiplicity 2)
4 F 0.5000 0.5000 0.0000 (multiplicity 1)

***

Entry 5:
Entry from the Alexandria database: TlGaNiF6 after structural relaxation (PBE+U).

Values from the calculation:
The calculation puts the density of states at the Fermi level at 0.000 states/eV/atom. The value obtained for the electronic total energy is -0.164 Ha/atom.

abc: 5.3180 9.2014 6.0937
angles: 90.00 90.13 90.00
Space group C2 (No. 5)
Unique sites:
1 Tl 0.0000 0.0000 0.0000 (multiplicity 2)
2 Ga 0.0000 0.3332 0.5000 (multiplicity 2)
3 Ni 0.0000 0.6667 0.5000 (multiplicity 2)
4 F 0.1223 0.4927 0.6775 (multiplicity 4)
5 F 0.1789 0.1929 0.6778 (multiplicity 4)
6 F 0.2009 0.8143 0.6779 (multiplicity 4)

***

Entry 6:
Entry from the Alexandria database: GaNi2WF after structural relaxation (PBE+U).

Values from the calculation:
The calculation puts the density of states at the Fermi level at 0.306 states/eV/atom. The value obtained for the electronic total energy is -0.112 Ha/atom.

abc: 3.9775 3.9775 4.7034
angles: 90.00 90.00 90.00
Space group P4/mmm (No. 123)
Unique sites:
1 Ga 0.0000 0.0000 0.0000 (multiplicity 1)
2 Ni 0.0000 0.5000 0.5000 (multiplicity 2)
3 W 0.5000 0.5000 0.0000 (multiplicity 1)
4 F 0.0000 0.0000 0.5000 (multiplicity 1)